A relaxed structure of Li8CuHg2. Source: the Alexandria database, functional PBE.

a b c (Å): 7.8824 7.8824 7.8824
angles (deg): 145.42 135.00 57.96
With the nearest neighbours (Å) after each atom.
Fractional coordinates of all 11 atoms:
Li1 0.1282 0.3611 0.7671  1 Cu 2.50
Li2 0.1766 0.1766 0.0000  8 Li 2.89-2.91, 4 Hg 3.00-3.02
Li3 0.2590 0.0000 0.2590  2 Cu 2.82, 8 Li 2.89-3.13, 2 Hg 2.97
Li4 0.4061 0.6389 0.7671  1 Cu 2.50
Li5 0.5939 0.3611 0.2329  1 Cu 2.50
Li6 0.7410 0.0000 0.7410  2 Cu 2.82, 8 Li 2.89-3.13, 2 Hg 2.97
Li7 0.8234 0.8234 0.0000  8 Li 2.89-2.91, 4 Hg 3.00-3.02
Li8 0.8718 0.6389 0.2329  1 Cu 2.50
Cu1 0.0000 0.5000 0.5000  4 Li 2.50
Hg1 0.3119 0.8119 0.5000  12 Li 2.81-3.02
Hg2 0.6881 0.1881 0.5000  12 Li 2.81-3.02

Computed properties:
Its space group is Immm. The volume is 194.9 Å³/f.u. The value obtained for the energy of formation is -0.1647 eV/atom. The value obtained for the energy is -21.82 eV per cell.